(1)
An optimized crystal structure of Ce2PaSi2. Source: Alexandria, functional GGA-PBE.

Results
E_form (uncorrected): -0.510 eV/atom
E: -6.952 eV/atom

abc: 7.537 7.537 4.057
angles: 90.00 90.00 90.00
Space group P4/mbm (No. 127)
Inequivalent atoms, fractional coordinates:
Ce 0.182 0.318 0.000
Pa 0.000 0.000 0.500
Si 0.115 0.615 0.500

***

(2)
An optimized crystal structure of TbMnNi2H8. Source: Alexandria, functional GGA-PBE.

Results
E: -4.497 eV/atom

abc: 4.4530 4.4530 15.6729
angles: 90.00 90.00 120.00
Space group R-3 (No. 148, hexagonal axes)
Inequivalent atoms, fractional coordinates:
Tb 0.0000 0.0000 0.0000
Mn 0.0000 0.0000 0.5000
Ni 0.0000 0.0000 0.2116
H 0.0000 0.0000 0.3130
H 0.0151 0.3756 0.7801

***

(3)
An optimized crystal structure of LaSi3Cl. Source: Alexandria, functional GGA-PBE.

Results
E_form (uncorrected): 1.298 eV/atom
E: -3.311 eV/atom

abc: 5.666 5.666 5.666
angles: 90.00 90.00 90.00
Space group Pm-3m (No. 221)
Inequivalent atoms, fractional coordinates:
La 0.000 0.000 0.000
Si 0.000 0.000 0.500
Cl 0.500 0.500 0.500

***

(4)
An optimized crystal structure of BaSc2Co. Source: Alexandria, functional GGA-PBE.

Results
calculated formation energy: 0.04 eV/atom
E: -5.386 eV/atom

abc: 6.690 3.857 9.000
angles: 90.00 104.26 90.00
Space group Cm (No. 8)
Inequivalent atoms, fractional coordinates:
Ba 0.000 0.000 0.000
Sc 0.048 0.500 0.639
Sc 0.290 0.500 0.364
Co 0.170 0.000 0.504

***

(5)
An optimized crystal structure of YTm3Pd2. Source: Alexandria, functional GGA-PBE.

Results
calculated formation energy: -0.66 eV/atom
E: -5.700 eV/atom

abc: 4.837 8.661 7.053
angles: 90.00 90.00 90.00
Space group Pmc2_1 (No. 26)
Inequivalent atoms, fractional coordinates:
Y 0.000 0.078 0.000
Tm 0.000 0.330 0.628
Tm 0.500 0.172 0.339
Tm 0.500 0.422 0.967
Pd 0.000 0.348 0.228
Pd 0.500 0.156 0.740

***

(6)
An optimized crystal structure of NiRh2Cl. Source: Alexandria, functional GGA-PBE.

Results
E_form (uncorrected): 0.566 eV/atom
E: -5.017 eV/atom

abc: 4.473 4.473 2.816
angles: 90.00 90.00 90.00
Space group P4/mmm (No. 123)
Inequivalent atoms, fractional coordinates:
Ni 0.000 0.000 0.000
Rh 0.000 0.500 0.500
Cl 0.500 0.500 0.000

***

(7)
An optimized crystal structure of SrSeBr2. Source: Alexandria, functional GGA-PBE.

Results
E_form (uncorrected): -1.104 eV/atom
E: -3.232 eV/atom

abc: 7.060 9.485 5.169
angles: 90.00 132.94 90.00
Space group C2/m (No. 12)
Inequivalent atoms, fractional coordinates:
Sr 0.000 0.000 0.000
Se 0.000 0.500 0.000
Br 0.250 0.250 0.500

***

(8)
An optimized crystal structure of AlRh3N. Source: Alexandria, functional GGA-PBE.

Results
E_form (uncorrected): -0.124 eV/atom
E: -6.949 eV/atom

abc: 4.054 4.054 4.054
angles: 90.00 90.00 90.00
Space group Pm-3m (No. 221)
Inequivalent atoms, fractional coordinates:
Al 0.000 0.000 0.000
Rh 0.000 0.500 0.500
N 0.500 0.500 0.500

***

Total magnetic moment for every record listed, in sequence, given in μB per formula unit: 0.0; 2.8; 0.0; 0.0; 0.0; 1.8; 0.0; 0.0.